1.
Material: LaSi2SbIr
Method: DFT, GGA-PBE
State: relaxed

```
5
Lattice="5.4262 0.0000 0.0000 0.0000 5.4262 0.0000 0.0000 0.0000 4.9985" Properties=species:S:1:pos:R:3 pbc="T T T"
La 0.0000 0.0000 0.0000
Si 0.0000 2.7131 0.0000
Si 2.7131 0.0000 0.0000
Sb 2.7131 2.7131 2.4993
Ir 0.0000 0.0000 2.4993
```

E_tot: -21.63 eV for the cell shown
M_tot: 0.00 μB per formula unit
density: 5.74 g/cm3
crystal system: tetragonal
DOS(E_F): 4.64 states/eV/cell

---

2.
Material: La2Sn3SbIr4
Method: DFT, GGA-PBE
State: relaxed

```
10
Lattice="4.5369 0.0000 0.0000 0.0000 4.5369 0.0000 0.0000 0.0000 10.8246" Properties=species:S:1:pos:R:3 pbc="T T T"
La 0.0000 2.2684 2.7078
La 2.2684 0.0000 8.1167
Sn 0.0000 0.0000 0.0000
Sn 0.0000 2.2684 6.8256
Sn 2.2684 0.0000 3.9989
Sb 2.2684 2.2684 0.0000
Ir 0.0000 0.0000 5.4123
Ir 0.0000 2.2684 9.4385
Ir 2.2684 0.0000 1.3860
Ir 2.2684 2.2684 5.4123
```

E_tot: -67.63 eV for the cell shown
M_tot: 0.00 μB per formula unit
density: 11.36 g/cm3
crystal system: tetragonal
DOS(E_F): 4.35 states/eV/cell

---

3.
Material: SrLa2SbIr
Method: DFT, GGA-PBE
State: relaxed

```
5
Lattice="5.4623 0.0000 0.0000 0.0000 5.4623 0.0000 0.0000 0.0000 5.8783" Properties=species:S:1:pos:R:3 pbc="T T T"
Sr 0.0000 0.0000 0.0000
La 0.0000 2.7311 2.9392
La 2.7311 0.0000 2.9392
Sb 2.7311 2.7311 0.0000
Ir 0.0000 0.0000 2.9392
```

E_tot: -27.62 eV for the cell shown
M_tot: 0.00 μB per formula unit
density: 6.43 g/cm3
crystal system: tetragonal
DOS(E_F): 4.21 states/eV/cell

---

4.
Material: SrLa2SbIr
Method: DFT, GGA-PBE
State: relaxed

```
5
Lattice="5.8528 0.0000 0.0000 0.0000 5.8528 0.0000 0.0000 0.0000 4.8968" Properties=species:S:1:pos:R:3 pbc="T T T"
Sr 0.0000 0.0000 0.0000
La 0.0000 2.9264 0.0000
La 2.9264 0.0000 0.0000
Sb 2.9264 2.9264 2.4484
Ir 0.0000 0.0000 2.4484
```

E_tot: -20.15 eV for the cell shown
M_tot: 0.00 μB per formula unit
density: 6.73 g/cm3
crystal system: tetragonal
DOS(E_F): 6.76 states/eV/cell

---

5.
Material: La2TbSb3Ir4
Method: DFT, GGA-PBE
State: relaxed

```
10
Lattice="4.3928 0.0000 0.0000 0.0000 4.3928 0.0000 0.0000 0.0000 11.6958" Properties=species:S:1:pos:R:3 pbc="T T T"
La 0.0000 2.1964 2.7411
La 2.1964 0.0000 8.9547
Tb 0.0000 0.0000 5.8479
Sb 0.0000 2.1964 10.1722
Sb 2.1964 0.0000 1.5236
Sb 2.1964 2.1964 5.8479
Ir 0.0000 0.0000 0.0000
Ir 0.0000 2.1964 7.5802
Ir 2.1964 0.0000 4.1156
Ir 2.1964 2.1964 0.0000
```

E_tot: -69.55 eV for the cell shown
M_tot: 0.00 μB per formula unit
density: 11.56 g/cm3
crystal system: tetragonal
DOS(E_F): 5.64 states/eV/cell

---

6.
Material: LaSb2TeIr
Method: DFT, GGA-PBE
State: relaxed

```
5
Lattice="6.0435 0.0000 0.0000 0.0000 6.0435 0.0000 0.0000 0.0000 5.9412" Properties=species:S:1:pos:R:3 pbc="T T T"
La 0.0000 0.0000 0.0000
Sb 0.0000 3.0218 0.0000
Sb 3.0218 0.0000 0.0000
Te 0.0000 0.0000 2.9706
Ir 3.0218 3.0218 2.9706
```

E_tot: -18.05 eV for the cell shown
M_tot: 2.03 μB per formula unit
density: 5.37 g/cm3
crystal system: tetragonal
DOS(E_F): 9.12 states/eV/cell

---

7.
Material: LaSb2TeIr
Method: DFT, GGA-PBE
State: relaxed

```
5
Lattice="5.7344 0.0000 0.0000 0.0000 5.7344 0.0000 0.0000 0.0000 4.8332" Properties=species:S:1:pos:R:3 pbc="T T T"
La 0.0000 0.0000 0.0000
Sb 0.0000 2.8672 2.4166
Sb 2.8672 0.0000 2.4166
Te 2.8672 2.8672 2.4166
Ir 2.8672 2.8672 0.0000
```

E_tot: -23.19 eV for the cell shown
M_tot: 0.00 μB per formula unit
density: 7.34 g/cm3
crystal system: tetragonal
DOS(E_F): 6.99 states/eV/cell

---

8.
Material: LaSb2TeIr
Method: DFT, GGA-PBE
State: relaxed

```
5
Lattice="5.1106 0.0000 0.0000 0.0000 5.1106 0.0000 0.0000 0.0000 5.6431" Properties=species:S:1:pos:R:3 pbc="T T T"
La 0.0000 0.0000 0.0000
Sb 0.0000 2.5553 2.8215
Sb 2.5553 0.0000 2.8215
Te 2.5553 2.5553 0.0000
Ir 2.5553 2.5553 2.8215
```

E_tot: -26.16 eV for the cell shown
M_tot: 0.00 μB per formula unit
density: 7.91 g/cm3
crystal system: tetragonal
DOS(E_F): 4.95 states/eV/cell

---

9.
Material: LaSbTeIr2
Method: DFT, GGA-PBE
State: relaxed

```
5
Lattice="4.8883 0.0000 0.0000 0.0000 4.8883 0.0000 0.0000 0.0000 5.7752" Properties=species:S:1:pos:R:3 pbc="T T T"
La 0.0000 0.0000 0.0000
Sb 2.4442 2.4442 0.0000
Te 2.4442 2.4442 2.8876
Ir 0.0000 2.4442 2.8876
Ir 2.4442 0.0000 2.8876
```

E_tot: -27.25 eV for the cell shown
M_tot: 0.93 μB per formula unit
density: 9.30 g/cm3
crystal system: tetragonal
DOS(E_F): 7.04 states/eV/cell

---

10.
Material: LaTiSbIr2
Method: DFT, GGA-PBE
State: relaxed

```
5
Lattice="4.8824 0.0000 0.0000 0.0000 4.8824 0.0000 0.0000 0.0000 5.8474" Properties=species:S:1:pos:R:3 pbc="T T T"
La 0.0000 0.0000 0.0000
Ti 2.4412 2.4412 2.9237
Sb 0.0000 0.0000 2.9237
Ir 0.0000 2.4412 0.0000
Ir 2.4412 0.0000 0.0000
```

E_tot: -26.94 eV for the cell shown
M_tot: 0.00 μB per formula unit
density: 8.26 g/cm3
crystal system: tetragonal
DOS(E_F): 5.00 states/eV/cell

---

11.
Material: La2USb3Ir4
Method: DFT, GGA-PBE
State: relaxed

```
10
Lattice="4.4400 0.0000 0.0000 0.0000 4.4400 0.0000 0.0000 0.0000 11.4859" Properties=species:S:1:pos:R:3 pbc="T T T"
La 0.0000 2.2200 2.6350
La 2.2200 0.0000 8.8509
U 0.0000 0.0000 5.7429
Sb 0.0000 2.2200 9.9745
Sb 2.2200 0.0000 1.5113
Sb 2.2200 2.2200 5.7429
Ir 0.0000 0.0000 0.0000
Ir 0.0000 2.2200 7.3539
Ir 2.2200 0.0000 4.1320
Ir 2.2200 2.2200 0.0000
```

E_tot: -75.22 eV for the cell shown
M_tot: 2.36 μB per formula unit
density: 12.10 g/cm3
crystal system: tetragonal
DOS(E_F): 11.59 states/eV/cell

---

12.
Material: La2YSbIr
Method: DFT, GGA-PBE
State: relaxed

```
5
Lattice="5.8866 0.0000 0.0000 0.0000 5.8866 0.0000 0.0000 0.0000 5.4912" Properties=species:S:1:pos:R:3 pbc="T T T"
La 0.0000 2.9433 0.0000
La 2.9433 0.0000 0.0000
Y 0.0000 0.0000 2.7456
Sb 0.0000 0.0000 0.0000
Ir 2.9433 2.9433 2.7456
```

E_tot: -26.52 eV for the cell shown
M_tot: 0.00 μB per formula unit
density: 5.94 g/cm3
crystal system: tetragonal
DOS(E_F): 10.13 states/eV/cell